Entry 1:
{
  "formula": "NpTcRh",
  "functional": "GGA-PBE",
  "state": "optimized geometry",
  "m_tot_mub_per_atom": 0.440,
  "formation_enthalpy_0k_ev_per_atom": 0.159,
  "dos_ef_per_ev_atom": 1.743,
  "lattice": [[-0.873, 3.091, 0.000], [-4.582, -1.294, -0.431], [-0.657, -0.185, 7.534]],
  "species": ["Tc", "Tc", "Rh", "Rh", "Np", "Np"],
  "fractional_positions": [[0.000, 0.000, 0.499], [0.500, 0.500, 0.501], [0.000, 0.000, 0.005], [0.500, 0.500, 0.995], [0.000, 0.500, 0.255], [0.500, 0.000, 0.745]]
}

=====

Entry 2:
{
  "formula": "Np2TcRh9",
  "functional": "GGA-PBE",
  "state": "optimized geometry",
  "m_tot_mub_per_atom": 0.310,
  "formation_enthalpy_0k_ev_per_atom": -0.260,
  "dos_ef_per_ev_atom": 2.079,
  "lattice": [[3.958, 0.000, 0.000], [0.000, 3.958, 0.000], [0.000, 0.000, 11.977]],
  "species": ["Rh", "Rh", "Rh", "Rh", "Rh", "Rh", "Rh", "Rh", "Rh", "Tc", "Np", "Np"],
  "fractional_positions": [[0.500, 0.000, 0.154], [0.000, 0.500, 0.154], [0.500, 0.500, 0.000], [0.500, 0.000, 0.846], [0.000, 0.500, 0.500], [0.000, 0.500, 0.846], [0.500, 0.500, 0.674], [0.500, 0.500, 0.326], [0.500, 0.000, 0.500], [0.000, 0.000, 0.000], [0.000, 0.000, 0.332], [0.000, 0.000, 0.668]]
}

=====

Entry 3:
{
  "formula": "NpTcRh2",
  "functional": "GGA-PBE",
  "state": "optimized geometry",
  "m_tot_mub_per_atom": 0.221,
  "formation_enthalpy_0k_ev_per_atom": -0.239,
  "dos_ef_per_ev_atom": 1.521,
  "lattice": [[4.128, 0.000, 0.000], [0.000, 3.946, 0.000], [0.000, 0.000, 3.946]],
  "species": ["Tc", "Np", "Rh", "Rh"],
  "fractional_positions": [[0.500, 0.500, 0.500], [0.500, 0.000, 0.000], [0.000, 0.000, 0.500], [0.000, 0.500, 0.000]]
}

=====

Entry 4:
{
  "formula": "NpTiTcRh",
  "functional": "GGA-PBE",
  "state": "optimized geometry",
  "m_tot_mub_per_atom": 0.822,
  "formation_enthalpy_0k_ev_per_atom": -0.271,
  "dos_ef_per_ev_atom": 1.315,
  "lattice": [[4.592, 0.000, 0.000], [2.296, 3.977, 0.000], [2.296, 1.326, 3.750]],
  "species": ["Ti", "Rh", "Tc", "Np"],
  "fractional_positions": [[0.250, 0.250, 0.250], [0.000, 0.000, 0.000], [0.500, 0.500, 0.500], [0.750, 0.750, 0.750]]
}

=====

Please write out number 3 again, unchanged.
{
  "formula": "NpTcRh2",
  "functional": "GGA-PBE",
  "state": "optimized geometry",
  "m_tot_mub_per_atom": 0.221,
  "formation_enthalpy_0k_ev_per_atom": -0.239,
  "dos_ef_per_ev_atom": 1.521,
  "lattice": [[4.128, 0.000, 0.000], [0.000, 3.946, 0.000], [0.000, 0.000, 3.946]],
  "species": ["Tc", "Np", "Rh", "Rh"],
  "fractional_positions": [[0.500, 0.500, 0.500], [0.500, 0.000, 0.000], [0.000, 0.000, 0.500], [0.000, 0.500, 0.000]]
}

=====

Question: Which formula does entry 3 have?
Answer: NpTcRh2